A relaxed structure of TlPbCl3. Source: the Alexandria database, functional PBE.

POSCAR file:
```
TlPbCl3
1.0
0.000 8.443 8.725
7.898 0.000 8.725
7.898 8.443 0.000
Tl Pb Cl
8 8 24
Direct
0.109 0.410 0.213
0.227 0.593 0.773
0.250 0.750 0.250
0.410 0.109 0.268
0.593 0.227 0.407
0.732 0.787 0.590
0.750 0.250 0.750
0.787 0.732 0.891
0.019 0.019 0.481
0.110 0.410 0.590
0.260 0.910 0.740
0.410 0.110 0.890
0.519 0.519 0.981
0.607 0.607 0.393
0.888 0.888 0.112
0.910 0.260 0.090
0.058 0.679 0.576
0.066 0.066 0.934
0.099 0.161 0.548
0.110 0.370 0.890
0.161 0.099 0.192
0.189 0.691 0.033
0.310 0.832 0.469
0.313 0.424 0.321
0.370 0.110 0.630
0.424 0.313 0.942
0.444 0.444 0.556
0.452 0.808 0.901
0.531 0.611 0.690
0.546 0.926 0.074
0.611 0.531 0.168
0.641 0.863 0.359
0.679 0.058 0.687
0.691 0.189 0.087
0.808 0.452 0.839
0.832 0.310 0.389
0.863 0.641 0.137
0.913 0.967 0.309
0.926 0.546 0.454
0.967 0.913 0.811
```

Output
Calculated volume (Å³ per cell): 1164
Symmetry: Fmm2, No. 42
Calculated total energy (eV for the cell shown): -136.0
Density (g/cm3): 5.91
Formation energy (no corrections) (eV per atom): -1.08